Entry 1:
Density functional theory data (PBE-GGA) for Ac2SnRh2 after structural relaxation.

Unit cell a=5.9673 b=5.9673 c=5.9673 alpha=135.33 beta=117.99 gamma=79.60
Sites, in units of the cell vectors:
1 Ac 0.2035 0.2035 0.0000
2 Ac 0.7965 0.7965 0.0000
3 Sn 0.5000 0.0000 0.5000
4 Rh 0.2310 0.5000 0.7310
5 Rh 0.7690 0.5000 0.2690

Symmetry ... Immm, No. 71
E_tot ... -6.11 eV/atom
ΔE_f ... -3.6 eV/f.u.



Entry 2:
Density functional theory data (PBE-GGA) for VTcN after structural relaxation.

Unit cell a=2.8904 b=2.8904 c=7.7471 alpha=90.00 beta=90.00 gamma=90.00
Sites, in units of the cell vectors:
1 V 0.2500 0.2500 0.1443
2 V 0.7500 0.7500 0.8557
3 Tc 0.2500 0.2500 0.6102
4 Tc 0.7500 0.7500 0.3898
5 N 0.2500 0.2500 0.8732
6 N 0.7500 0.7500 0.1268

Symmetry ... P4/nmm, No. 129
Formation energy (no corrections) ... -0.7134 eV per atom
E_tot ... -9.98 eV/atom



Entry 3:
Density functional theory data (PBE-GGA) for SmHo2ScTe4 after structural relaxation.

Unit cell a=7.4972 b=4.2856 c=7.5495 alpha=90.00 beta=108.95 gamma=90.00
Sites, in units of the cell vectors:
1 Sm 0.0000 0.0000 0.0000
2 Ho 0.5000 0.0000 0.5000
3 Ho 0.5000 0.5000 0.0000
4 Sc 0.0000 0.5000 0.5000
5 Te 0.2448 0.0000 0.7389
6 Te 0.2517 0.5000 0.2601
7 Te 0.7482 0.5000 0.7399
8 Te 0.7552 0.0000 0.2611

Symmetry ... P2/m, No. 10
Formation energy (no corrections) ... -1.2301 eV per atom
E_tot ... -5.33 eV/atom



Entry 4:
Density functional theory data (PBE-GGA) for LaTbNiRu after structural relaxation.

Unit cell a=4.9273 b=4.9273 c=4.9273 alpha=60.00 beta=60.00 gamma=60.00
Sites, in units of the cell vectors:
1 La 0.0000 0.0000 0.0000
2 Tb 0.5000 0.5000 0.5000
3 Ni 0.2500 0.2500 0.2500
4 Ru 0.7500 0.7500 0.7500

Symmetry ... F-43m, No. 216
E_tot ... -6.41 eV/atom
ΔE_f ... -1.0 eV/f.u.



Entry 5:
Density functional theory data (PBE-GGA) for CdTc3 after structural relaxation.

Unit cell a=5.2973 b=5.2973 c=5.2973 alpha=117.21 beta=117.21 gamma=117.21
Sites, in units of the cell vectors:
1 Cd 0.0000 0.0000 0.0000
2 Tc 0.0000 0.5000 0.5000
3 Tc 0.5000 0.0000 0.5000
4 Tc 0.5000 0.5000 0.0000

Symmetry ... R-3m, No. 166
E_tot ... -7.45 eV/atom
ΔE_f ... 2.2 eV/f.u.



Entry 6:
Density functional theory data (PBE-GGA) for SmErSc2 after structural relaxation.

Unit cell a=3.4351 b=3.4351 c=10.9477 alpha=90.00 beta=90.00 gamma=120.00
Sites, in units of the cell vectors:
1 Sm 0.0000 0.0000 0.0000
2 Er 0.0000 0.0000 0.5000
3 Sc 0.3333 0.6667 0.2524
4 Sc 0.6667 0.3333 0.7476

Symmetry ... P-3m1, No. 164
E_tot ... -5.44 eV/atom
ΔE_f ... 0.2 eV/f.u.



Entry 7:
Density functional theory data (PBE-GGA) for CeInPtAu after structural relaxation.

Unit cell a=4.9623 b=4.9623 c=4.9623 alpha=60.00 beta=60.00 gamma=60.00
Sites, in units of the cell vectors:
1 Ce 0.0000 0.0000 0.0000
2 In 0.5000 0.5000 0.5000
3 Pt 0.2500 0.2500 0.2500
4 Au 0.7500 0.7500 0.7500

Symmetry ... F-43m, No. 216
E_tot ... -5.21 eV/atom
ΔE_f ... -2.9 eV/f.u.



Entry 8:
Density functional theory data (PBE-GGA) for IrRu5 after structural relaxation.

Unit cell a=4.9710 b=4.9710 c=4.4173 alpha=90.00 beta=90.00 gamma=120.00
Sites, in units of the cell vectors:
1 Ir 0.0000 0.0000 0.0000
2 Ru 0.0000 0.5000 0.5000
3 Ru 0.3333 0.6667 0.0000
4 Ru 0.5000 0.0000 0.5000
5 Ru 0.5000 0.5000 0.5000
6 Ru 0.6667 0.3333 0.0000

Symmetry ... P6/mmm, No. 191
E_tot ... -8.34 eV/atom
ΔE_f ... 5.2 eV/f.u.



Entry 9:
Density functional theory data (PBE-GGA) for CaTlCu2Ru after structural relaxation.

Unit cell a=4.8215 b=4.8215 c=5.6165 alpha=90.00 beta=90.00 gamma=90.00
Sites, in units of the cell vectors:
1 Ca 0.0000 0.0000 0.0000
2 Tl 0.0000 0.0000 0.5000
3 Cu 0.0000 0.5000 0.0000
4 Cu 0.5000 0.0000 0.0000
5 Ru 0.5000 0.5000 0.5000

Symmetry ... P4/mmm, No. 123
E_tot ... -2.69 eV/atom
ΔE_f ... 8.4 eV/f.u.



Entry 10:
Density functional theory data (PBE-GGA) for Hf8AlGa2 after structural relaxation.

Unit cell a=7.4820 b=7.4820 c=5.0902 alpha=101.21 beta=101.21 gamma=117.86
Sites, in units of the cell vectors:
1 Hf 0.0880 0.3208 0.6269
2 Hf 0.2241 0.7759 0.0000
3 Hf 0.3208 0.0880 0.6269
4 Hf 0.4068 0.4068 0.2022
5 Hf 0.5932 0.5932 0.7978
6 Hf 0.6792 0.9120 0.3731
7 Hf 0.7759 0.2241 0.0000
8 Hf 0.9120 0.6792 0.3731
9 Al 0.0000 0.0000 0.0000
10 Ga 0.3055 0.6945 0.5000
11 Ga 0.6945 0.3055 0.5000

Symmetry ... C2/m, No. 12
E_tot ... -8.21 eV/atom
ΔE_f ... -0.9 eV/f.u.



Entry 11:
Density functional theory data (PBE-GGA) for Cr2CoMo after structural relaxation.

Unit cell a=2.5475 b=4.0555 c=4.9577 alpha=90.00 beta=101.31 gamma=90.00
Sites, in units of the cell vectors:
1 Cr 0.0000 0.0000 0.0000
2 Cr 0.2128 0.5000 0.7784
3 Co 0.4603 0.0000 0.5324
4 Mo 0.7528 0.5000 0.2742

Symmetry ... Pm, No. 6
E_tot ... -9.13 eV/atom
ΔE_f ... 0.7 eV/f.u.



Entry 12:
Density functional theory data (PBE-GGA) for LiTeS2 after structural relaxation.

Unit cell a=7.9638 b=7.9638 c=7.9638 alpha=140.02 beta=140.02 gamma=57.82
Sites, in units of the cell vectors:
1 Li 0.0000 0.0000 0.0000
2 Li 0.7500 0.2500 0.5000
3 Te 0.2500 0.7500 0.5000
4 Te 0.5000 0.5000 0.0000
5 S 0.1163 0.6250 0.9913
6 S 0.3750 0.3663 0.4913
7 S 0.6337 0.1250 0.0087
8 S 0.8750 0.8837 0.5087

Symmetry ... I-42d, No. 122
Formation energy (no corrections) ... -0.2570 eV per atom
E_tot ... -3.58 eV/atom